1.
A relaxed Hf12GaSb6 crystal, computed with PBE.

Output
- Mass density: 10.6 g cm⁻³
- Formation energy (no corrections): -165 kJ/mol of formula units
- Calculated total energy: -148.91 eV/cell
- Space-group type: R-3 (148)

a b c (Å): 7.8129 7.8129 7.8129
angles (deg): 98.56 98.56 98.56
With the nearest neighbours (Å) after each atom.
Element x y z (fractional)
Hf 0.7904 0.5828 0.4788  4 Sb 2.89-3.20, 1 Hf 3.06
Hf 0.4788 0.7904 0.5828  4 Sb 2.89-3.20, 1 Hf 3.06
Hf 0.5828 0.4788 0.7904  4 Sb 2.89-3.20, 1 Hf 3.06
Hf 0.2096 0.4172 0.5212  4 Sb 2.89-3.20, 1 Hf 3.06
Hf 0.5212 0.2096 0.4172  4 Sb 2.89-3.20, 1 Hf 3.06
Hf 0.4172 0.5212 0.2096  4 Sb 2.89-3.20, 1 Hf 3.06
Hf 0.0859 0.0342 0.3407  1 Ga 2.61, 2 Sb 2.80-2.89
Hf 0.9658 0.6593 0.9141  1 Ga 2.61, 2 Sb 2.80-2.89
Hf 0.6593 0.9141 0.9658  1 Ga 2.61, 2 Sb 2.80-2.89
Hf 0.9141 0.9658 0.6593  1 Ga 2.61, 2 Sb 2.80-2.89
Hf 0.0342 0.3407 0.0859  1 Ga 2.61, 2 Sb 2.80-2.89
Hf 0.3407 0.0859 0.0342  1 Ga 2.61, 2 Sb 2.80-2.89
Ga 0.0000 0.0000 0.0000  6 Hf 2.61
Sb 0.6822 0.8887 0.3220  5 Hf 2.80-3.02
Sb 0.6780 0.3178 0.1113  5 Hf 2.80-3.02
Sb 0.1113 0.6780 0.3178  5 Hf 2.80-3.02
Sb 0.3178 0.1113 0.6780  5 Hf 2.80-3.02
Sb 0.3220 0.6822 0.8887  5 Hf 2.80-3.02
Sb 0.8887 0.3220 0.6822  5 Hf 2.80-3.02

***

2.
A relaxed HfGa2Sb crystal, computed with PBE.

Output
- Mass density: 8.3 g cm⁻³
- Formation energy (no corrections): 23 kJ/mol of formula units
- Calculated total energy: -39.79 eV/cell
- Space-group type: I-42d (122)

a b c (Å): 7.7766 7.7766 6.2147
angles (deg): 51.27 51.27 90.00
With the nearest neighbours (Å) after each atom.
Element x y z (fractional)
Sb 0.5000 0.5000 0.0000  4 Ga 2.85, 2 Hf 2.90
Sb 0.2500 0.7500 0.5000  4 Ga 2.85, 2 Hf 2.90
Hf 0.0000 0.0000 0.0000  4 Ga 2.83, 2 Sb 2.90
Hf 0.7500 0.2500 0.5000  4 Ga 2.83, 2 Sb 2.90
Ga 0.6270 0.1250 0.2500  2 Hf 2.83, 2 Sb 2.85, 2 Ga 2.90
Ga 0.1230 0.6250 0.2500  2 Hf 2.83, 2 Sb 2.85, 2 Ga 2.90
Ga 0.3750 0.3730 0.7500  2 Hf 2.83, 2 Sb 2.85, 2 Ga 2.90
Ga 0.8750 0.8770 0.7500  2 Hf 2.83, 2 Sb 2.85, 2 Ga 2.90

***

3.
A relaxed HfGaSb crystal, computed with PBE.

Output
- Mass density: 9.5 g cm⁻³
- Formation energy (no corrections): -101 kJ/mol of formula units
- Calculated total energy: -36.30 eV/cell
- Space-group type: P4/nmm (129)
- Distance to the lowest polymorph of the same formula: 0 meV/atom

a b c (Å): 3.9011 3.9011 8.4865
angles (deg): 90.00 90.00 90.00
With the nearest neighbours (Å) after each atom.
Element x y z (fractional)
Hf 0.0000 0.5000 0.7366  5 Sb 2.91-3.10, 4 Ga 2.97
Hf 0.5000 0.0000 0.2634  5 Sb 2.91-3.10, 4 Ga 2.97
Ga 0.0000 0.0000 0.0000  4 Ga 2.76, 4 Hf 2.97
Ga 0.5000 0.5000 0.0000  4 Ga 2.76, 4 Hf 2.97
Sb 0.0000 0.5000 0.3708  5 Hf 2.91-3.10
Sb 0.5000 0.0000 0.6292  5 Hf 2.91-3.10

***

4.
A relaxed Hf8Ga2Sb crystal, computed with PBE.

Output
- Mass density: 11.7 g cm⁻³
- Formation energy (no corrections): -159 kJ/mol of formula units
- Calculated total energy: -91.45 eV/cell
- Space-group type: C2/m (12)

a b c (Å): 5.2537 7.3744 7.3744
angles (deg): 116.31 100.99 100.99
With the nearest neighbours (Å) after each atom.
Element x y z (fractional)
Hf 0.8796 0.9161 0.6788  2 Ga 2.77-2.78, 3 Hf 2.94-3.04
Hf 0.8796 0.6788 0.9161  2 Ga 2.77-2.78, 3 Hf 2.94-3.04
Hf 0.3021 0.5877 0.5877  2 Ga 2.84, 4 Hf 2.87-3.17, 1 Sb 2.99
Hf 0.5000 0.7626 0.2374  2 Ga 2.77, 1 Sb 2.97, 2 Hf 3.04
Hf 0.5000 0.2374 0.7626  2 Ga 2.77, 1 Sb 2.97, 2 Hf 3.04
Hf 0.6979 0.4123 0.4123  2 Ga 2.84, 4 Hf 2.87-3.17, 1 Sb 2.99
Hf 0.1204 0.3212 0.0839  2 Ga 2.77-2.78, 3 Hf 2.94-3.04
Hf 0.1204 0.0839 0.3212  2 Ga 2.77-2.78, 3 Hf 2.94-3.04
Ga 0.0000 0.3069 0.6931  8 Hf 2.77-2.84
Ga 0.0000 0.6931 0.3069  8 Hf 2.77-2.84
Sb 0.5000 0.0000 0.0000  8 Hf 2.97-3.31

***

5.
A relaxed Hf7Ga2Sb2 crystal, computed with PBE.

Output
- Mass density: 11.4 g cm⁻³
- Formation energy (no corrections): -332 kJ/mol of formula units
- Calculated total energy: -87.41 eV/cell
- Space-group type: Imm2 (44)

a b c (Å): 3.7446 8.5848 8.5848
angles (deg): 62.69 77.40 77.40
With the nearest neighbours (Å) after each atom.
Element x y z (fractional)
Hf 0.8247 0.0435 0.3072  1 Ga 2.64, 3 Sb 2.80-2.88
Hf 0.8574 0.4482 0.8369  2 Ga 2.77, 2 Sb 2.93
Hf 0.5000 0.0164 0.9836  3 Ga 2.89-2.91, 2 Sb 3.23
Hf 0.6160 0.4867 0.2813  3 Ga 2.86-2.89, 2 Sb 2.95, 2 Hf 3.14
Hf 0.3840 0.7187 0.5133  3 Ga 2.86-2.89, 2 Sb 2.95, 2 Hf 3.14
Hf 0.1753 0.6928 0.9565  1 Ga 2.64, 3 Sb 2.80-2.88
Hf 0.1426 0.1631 0.5518  2 Ga 2.77, 2 Sb 2.93
Ga 0.0000 0.7672 0.2328  8 Hf 2.64-2.91
Ga 0.5000 0.3403 0.6597  7 Hf 2.77-2.89
Sb 0.7234 0.8651 0.6881  7 Hf 2.80-2.95
Sb 0.2766 0.3119 0.1349  7 Hf 2.80-2.95

***

6.
A relaxed Hf6GaSb crystal, computed with PBE.

Output
- Mass density: 12.3 g cm⁻³
- Formation energy (no corrections): -179 kJ/mol of formula units
- Calculated total energy: -68.72 eV/cell
- Space-group type: Fmmm (69)

a b c (Å): 7.3345 7.6158 5.1291
angles (deg): 66.99 72.92 40.07
With the nearest neighbours (Å) after each atom.
Element x y z (fractional)
Hf 0.2513 0.2517 0.7483  10 Hf 3.06-3.33, 1 Ga 3.25, 1 Sb 3.29
Hf 0.8788 0.8792 0.6209  2 Ga 3.01, 2 Sb 3.01, 8 Hf 3.06-3.37
Hf 0.3789 0.3791 0.1207  2 Ga 3.01, 2 Sb 3.01, 8 Hf 3.06-3.37
Hf 0.1212 0.1208 0.3791  2 Ga 3.01, 2 Sb 3.01, 8 Hf 3.06-3.37
Hf 0.7487 0.7483 0.2517  10 Hf 3.06-3.33, 1 Ga 3.25, 1 Sb 3.29
Hf 0.6211 0.6209 0.8793  2 Ga 3.01, 2 Sb 3.01, 8 Hf 3.06-3.37
Ga 0.5000 0.5000 0.5000  10 Hf 3.01-3.25, 2 Sb 3.32
Sb 0.0000 0.0000 0.0000  10 Hf 3.01-3.29, 2 Ga 3.32

***

7.
A relaxed Hf5GaSb4 crystal, computed with PBE.

Output
- Mass density: 10.2 g cm⁻³
- Formation energy (no corrections): -336 kJ/mol of formula units
- Calculated total energy: -72.76 eV/cell
- Space-group type: I4 (79)

a b c (Å): 5.7151 7.0415 7.0415
angles (deg): 80.52 66.06 66.06
With the nearest neighbours (Å) after each atom.
Element x y z (fractional)
Hf 0.8987 0.3735 0.8307  1 Ga 2.64, 4 Sb 2.88-2.94
Hf 0.2723 0.8307 0.6265  1 Ga 2.64, 4 Sb 2.88-2.94
Hf 0.7295 0.1693 0.3735  1 Ga 2.64, 4 Sb 2.88-2.94
Hf 0.1030 0.6265 0.1693  1 Ga 2.64, 4 Sb 2.88-2.94
Hf 0.5018 0.0000 0.0000  2 Ga 2.86, 4 Sb 2.94
Ga 0.0017 0.0000 0.0000  6 Hf 2.64-2.86
Sb 0.4131 0.3987 0.7769  6 Hf 2.88-2.99
Sb 0.8117 0.7769 0.6013  6 Hf 2.88-2.99
Sb 0.1899 0.2231 0.3987  6 Hf 2.88-2.99
Sb 0.5886 0.6013 0.2231  6 Hf 2.88-2.99

***

8.
A relaxed Hf2GaSb2 crystal, computed with PBE.

Output
- Mass density: 8.2 g cm⁻³
- Formation energy (no corrections): 24 kJ/mol of formula units
- Calculated total energy: -30.93 eV/cell
- Space-group type: I4/mmm (139)
- Distance to the lowest polymorph of the same formula: 391 meV/atom

a b c (Å): 4.6164 4.6164 7.1896
angles (deg): 71.27 71.27 90.00
With the nearest neighbours (Å) after each atom.
Element x y z (fractional)
Sb 0.3829 0.3829 0.2342  4 Hf 2.87, 1 Sb 3.00
Sb 0.6171 0.6171 0.7658  4 Hf 2.87, 1 Sb 3.00
Hf 0.7500 0.2500 0.5000  4 Sb 2.87
Hf 0.2500 0.7500 0.5000  4 Sb 2.87
Ga 0.0000 0.0000 0.0000  8 Sb 3.59, 8 Hf 3.95

***

9.
A relaxed HfGaSb crystal, computed with PBE.

Output
- Mass density: 8.2 g cm⁻³
- Formation energy (no corrections): 51 kJ/mol of formula units
- Calculated total energy: -66.29 eV/cell
- Space-group type: P2_13 (198)
- Distance to the lowest polymorph of the same formula: 526 meV/atom

a b c (Å): 6.6942 6.6942 6.6942
angles (deg): 90.00 90.00 90.00
With the nearest neighbours (Å) after each atom.
Element x y z (fractional)
Ga 0.5472 0.5472 0.5472  1 Sb 2.76, 3 Hf 2.87
Ga 0.9528 0.4528 0.0472  1 Sb 2.76, 3 Hf 2.87
Ga 0.0472 0.9528 0.4528  1 Sb 2.76, 3 Hf 2.87
Ga 0.4528 0.0472 0.9528  1 Sb 2.76, 3 Hf 2.87
Sb 0.3095 0.3095 0.3095  1 Ga 2.76, 3 Hf 2.92
Sb 0.1905 0.6905 0.8095  1 Ga 2.76, 3 Hf 2.92
Sb 0.8095 0.1905 0.6905  1 Ga 2.76, 3 Hf 2.92
Sb 0.6905 0.8095 0.1905  1 Ga 2.76, 3 Hf 2.92
Hf 0.0315 0.0315 0.0315  3 Ga 2.87, 3 Sb 2.92
Hf 0.4685 0.9685 0.5315  3 Ga 2.87, 3 Sb 2.92
Hf 0.5315 0.4685 0.9685  3 Ga 2.87, 3 Sb 2.92
Hf 0.9685 0.5315 0.4685  3 Ga 2.87, 3 Sb 2.92

***

10.
A relaxed Hf8Ga3Sb2 crystal, computed with PBE.

Output
- Mass density: 10.7 g cm⁻³
- Formation energy (no corrections): -108 kJ/mol of formula units
- Calculated total energy: -98.07 eV/cell
- Space-group type: C2/m (12)

a b c (Å): 5.7510 7.9860 7.4996
angles (deg): 122.17 91.51 90.00
With the nearest neighbours (Å) after each atom.
Element x y z (fractional)
Hf 0.8874 0.5962 0.1923  1 Hf 2.80, 1 Sb 2.81, 2 Ga 2.83
Hf 0.1126 0.4038 0.8077  1 Hf 2.80, 1 Sb 2.81, 2 Ga 2.83
Hf 0.8617 0.1721 0.3442  3 Ga 2.80-2.97, 2 Sb 2.92-2.96
Hf 0.1383 0.8279 0.6558  3 Ga 2.80-2.97, 2 Sb 2.92-2.96
Hf 0.6240 0.5694 0.7727  2 Ga 2.75-3.01, 2 Sb 2.86-2.94, 1 Hf 2.92
Hf 0.6240 0.2033 0.7727  2 Ga 2.75-3.01, 2 Sb 2.86-2.94, 1 Hf 2.92
Hf 0.3760 0.7967 0.2273  2 Ga 2.75-3.01, 2 Sb 2.86-2.94, 1 Hf 2.92
Hf 0.3760 0.4306 0.2273  2 Ga 2.75-3.01, 2 Sb 2.86-2.94, 1 Hf 2.92
Ga 0.5000 0.0000 0.0000  2 Sb 2.90, 6 Hf 2.97-3.01
Ga 0.0000 0.1916 0.0000  6 Hf 2.75-2.83, 1 Ga 3.06
Ga 0.0000 0.8084 0.0000  6 Hf 2.75-2.83, 1 Ga 3.06
Sb 0.3683 0.2188 0.4376  7 Hf 2.81-2.96, 1 Ga 2.90
Sb 0.6317 0.7812 0.5624  7 Hf 2.81-2.96, 1 Ga 2.90

***

11.
A relaxed Hf7Ga5Sb crystal, computed with PBE.

Output
- Mass density: 11.0 g cm⁻³
- Formation energy (no corrections): -342 kJ/mol of formula units
- Calculated total energy: -92.48 eV/cell
- Space-group type: Imm2 (44)

a b c (Å): 5.4400 7.4287 7.4287
angles (deg): 80.05 68.52 68.52
With the nearest neighbours (Å) after each atom.
Element x y z (fractional)
Hf 0.6327 0.3672 0.3672  3 Hf 2.86-3.05, 4 Ga 3.02, 1 Sb 3.14
Hf 0.3472 0.6529 0.6529  1 Hf 2.86, 6 Ga 2.88-2.89
Hf 0.0037 0.3375 0.6548  5 Ga 2.94-2.98, 4 Hf 3.03-3.16
Hf 0.0037 0.6548 0.3375  5 Ga 2.94-2.98, 4 Hf 3.03-3.16
Hf 0.2708 0.2296 0.2296  4 Ga 2.76-2.77, 6 Hf 2.94-3.06
Hf 0.5131 0.8130 0.1602  5 Ga 2.86-3.02, 3 Hf 2.94-3.16
Hf 0.5131 0.1602 0.8130  5 Ga 2.86-3.02, 3 Hf 2.94-3.16
Ga 0.5032 0.9943 0.4975  3 Ga 2.71-2.74, 7 Hf 2.76-3.02
Ga 0.0050 0.9943 0.4975  3 Ga 2.71-2.74, 7 Hf 2.77-3.02
Ga 0.5032 0.4975 0.9942  3 Ga 2.71-2.74, 7 Hf 2.76-3.02
Ga 0.0050 0.4975 0.9943  3 Ga 2.71-2.74, 7 Hf 2.77-3.02
Ga 0.7515 0.7486 0.7486  4 Ga 2.74, 6 Hf 2.88-2.94
Sb 0.9478 0.0526 0.0526  9 Hf 3.14-3.31, 4 Ga 3.37

***

12.
A relaxed Hf3GaSb crystal, computed with PBE.

Output
- Mass density: 10.0 g cm⁻³
- Formation energy (no corrections): 184 kJ/mol of formula units
- Calculated total energy: -35.11 eV/cell
- Space-group type: Pm-3m (221)
- Distance to the lowest polymorph of the same formula: 706 meV/atom

a b c (Å): 4.9495 4.9495 4.9495
angles (deg): 90.00 90.00 90.00
With the nearest neighbours (Å) after each atom.
Element x y z (fractional)
Sb 0.5000 0.5000 0.5000  12 Hf 3.50
Hf 0.0000 0.5000 0.0000  2 Ga 2.47
Hf 0.0000 0.0000 0.5000  2 Ga 2.47
Hf 0.5000 0.0000 0.0000  2 Ga 2.47
Ga 0.0000 0.0000 0.0000  6 Hf 2.47